! PBE MnRhS3, relaxed; values from VASP
&SYSTEM
  ibrav = 0, nat = 5, ntyp = 3
/
ATOMIC_SPECIES
Mn 54.94 Mn.upf
Rh 102.91 Rh.upf
S 32.06 S.upf
ATOMIC_POSITIONS crystal
Mn 0.0000 0.0000 0.0000
Rh 0.5000 0.5000 0.5000
S 0.0000 0.5000 0.5000
S 0.5000 0.0000 0.5000
S 0.5000 0.5000 0.0000
CELL_PARAMETERS angstrom
4.5763 0.0000 0.0000
0.0000 4.5763 0.0000
0.0000 0.0000 4.5763
! E above lowest polymorph = 1391 meV/atom



! PBE Mn3RhS, relaxed; values from VASP
&SYSTEM
  ibrav = 0, nat = 5, ntyp = 3
/
ATOMIC_SPECIES
Mn 54.94 Mn.upf
Rh 102.91 Rh.upf
S 32.06 S.upf
ATOMIC_POSITIONS crystal
Mn 0.0000 0.0000 0.5000
Mn 0.0000 0.5000 0.0000
Mn 0.5000 0.0000 0.0000
Rh 0.0000 0.0000 0.0000
S 0.5000 0.5000 0.5000
CELL_PARAMETERS angstrom
4.7913 0.0000 0.0000
0.0000 4.7913 0.0000
0.0000 0.0000 4.7913
! E above lowest polymorph = 396 meV/atom



VASP calculation (PBE) on crystalline Mn3RhS6 at its relaxed geometry. Values from VASP.

Structure (Quantum ESPRESSO input):
```
&SYSTEM
  ibrav = 0, nat = 20, ntyp = 3
/
ATOMIC_SPECIES
Mn 54.94 Mn.upf
Rh 102.91 Rh.upf
S 32.06 S.upf
ATOMIC_POSITIONS crystal
Mn 0.0000 0.0000 0.0000
Mn 0.0000 0.5000 0.5000
Mn 0.2279 0.1148 0.7701
Mn 0.2279 0.3852 0.2701
Mn 0.7721 0.6148 0.7299
Mn 0.7721 0.8852 0.2299
Rh 0.5000 0.0000 0.5000
Rh 0.5000 0.5000 0.0000
S 0.0902 0.1811 0.4176
S 0.0902 0.3189 0.9176
S 0.2308 0.6839 0.4178
S 0.2308 0.8161 0.9178
S 0.4064 0.0503 0.2457
S 0.4064 0.4497 0.7457
S 0.5936 0.5503 0.2543
S 0.5936 0.9497 0.7543
S 0.7692 0.1839 0.0822
S 0.7692 0.3161 0.5822
S 0.9098 0.6811 0.0824
S 0.9098 0.8189 0.5824
CELL_PARAMETERS angstrom
5.9484 0.0000 0.0000
0.0000 6.1648 0.0000
-5.8708 0.0000 8.9654
```



VASP calculation (PBE) on crystalline MnRh2S4 at its relaxed geometry. Values from VASP.

Structure (Quantum ESPRESSO input):
```
&SYSTEM
  ibrav = 0, nat = 14, ntyp = 3
/
ATOMIC_SPECIES
Mn 54.94 Mn.upf
Rh 102.91 Rh.upf
S 32.06 S.upf
ATOMIC_POSITIONS crystal
Mn 0.1250 0.1250 0.1250
Mn 0.8750 0.8750 0.8750
Rh 0.0000 0.5000 0.5000
Rh 0.5000 0.0000 0.5000
Rh 0.5000 0.5000 0.0000
Rh 0.5000 0.5000 0.5000
S 0.2631 0.2631 0.2631
S 0.2631 0.2631 0.7107
S 0.2631 0.7107 0.2631
S 0.2893 0.7369 0.7369
S 0.7107 0.2631 0.2631
S 0.7369 0.2893 0.7369
S 0.7369 0.7369 0.2893
S 0.7369 0.7369 0.7369
CELL_PARAMETERS angstrom
0.0000 5.0272 5.0272
5.0272 0.0000 5.0272
5.0272 5.0272 0.0000
```



VASP calculation (PBE) on crystalline Mn4RhS8 at its relaxed geometry. Values from VASP.

Structure (Quantum ESPRESSO input):
```
&SYSTEM
  ibrav = 0, nat = 13, ntyp = 3
/
ATOMIC_SPECIES
Mn 54.94 Mn.upf
Rh 102.91 Rh.upf
S 32.06 S.upf
ATOMIC_POSITIONS crystal
Mn 0.2342 0.7658 0.0000
Mn 0.2352 0.2352 0.4898
Mn 0.7648 0.7648 0.5102
Mn 0.7658 0.2342 0.0000
Rh 0.5000 0.5000 0.5000
S 0.0390 0.5315 0.3290
S 0.0401 0.0401 0.8332
S 0.4685 0.9610 0.6710
S 0.4777 0.4777 0.1745
S 0.5223 0.5223 0.8255
S 0.5315 0.0390 0.3290
S 0.9599 0.9599 0.1668
S 0.9610 0.4685 0.6710
CELL_PARAMETERS angstrom
5.5664 -3.3555 0.0000
5.5664 3.3555 0.0000
-5.4321 0.0000 5.7779
```



VASP calculation (PBE) on crystalline Mn2RhS at its relaxed geometry. Values from VASP.

Structure (Quantum ESPRESSO input):
```
&SYSTEM
  ibrav = 0, nat = 8, ntyp = 3
/
ATOMIC_SPECIES
Mn 54.94 Mn.upf
Rh 102.91 Rh.upf
S 32.06 S.upf
ATOMIC_POSITIONS crystal
Mn 0.1009 0.6250 0.9759
Mn 0.3750 0.3509 0.4759
Mn 0.6491 0.1250 0.0241
Mn 0.8750 0.8991 0.5241
Rh 0.2500 0.7500 0.5000
Rh 0.5000 0.5000 0.0000
S 0.0000 0.0000 0.0000
S 0.7500 0.2500 0.5000
CELL_PARAMETERS angstrom
-2.5981 2.5981 4.9370
2.5981 -2.5981 4.9370
2.5981 2.5981 -4.9370
```



VASP calculation (PBE) on crystalline Mn2RhS4 at its relaxed geometry. Values from VASP.

Structure (Quantum ESPRESSO input):
```
&SYSTEM
  ibrav = 0, nat = 28, ntyp = 3
/
ATOMIC_SPECIES
Mn 54.94 Mn.upf
Rh 102.91 Rh.upf
S 32.06 S.upf
ATOMIC_POSITIONS crystal
Mn 0.0000 0.2444 0.0000
Mn 0.0000 0.7556 0.5000
Mn 0.2444 0.0000 0.7500
Mn 0.2559 0.2559 0.3750
Mn 0.2559 0.7441 0.1250
Mn 0.7441 0.2559 0.6250
Mn 0.7441 0.7441 0.8750
Mn 0.7556 0.0000 0.2500
Rh 0.2422 0.5000 0.7500
Rh 0.5000 0.2422 0.0000
Rh 0.5000 0.7578 0.5000
Rh 0.7578 0.5000 0.2500
S 0.0161 0.2458 0.7630
S 0.0161 0.7542 0.7370
S 0.2458 0.0161 0.9870
S 0.2458 0.9839 0.5130
S 0.2469 0.4679 0.9889
S 0.2469 0.5321 0.5111
S 0.4679 0.2469 0.7611
S 0.4679 0.7531 0.7389
S 0.5321 0.2469 0.2389
S 0.5321 0.7531 0.2611
S 0.7531 0.4679 0.0111
S 0.7531 0.5321 0.4889
S 0.7542 0.0161 0.0130
S 0.7542 0.9839 0.4870
S 0.9839 0.2458 0.2370
S 0.9839 0.7542 0.2630
CELL_PARAMETERS angstrom
7.0341 0.0000 0.0000
0.0000 7.0341 0.0000
0.0000 0.0000 9.9639
```



VASP calculation (PBE) on crystalline Mn2RhS6 at its relaxed geometry. Values from VASP.

Structure (Quantum ESPRESSO input):
```
&SYSTEM
  ibrav = 0, nat = 9, ntyp = 3
/
ATOMIC_SPECIES
Mn 54.94 Mn.upf
Rh 102.91 Rh.upf
S 32.06 S.upf
ATOMIC_POSITIONS crystal
Mn 0.1665 0.1665 0.3282
Mn 0.8335 0.8335 0.6718
Rh 0.5000 0.5000 0.0000
S 0.0101 0.0101 0.2384
S 0.3271 0.3271 0.4430
S 0.3371 0.3371 0.8973
S 0.6629 0.6629 0.1027
S 0.6729 0.6729 0.5570
S 0.9899 0.9899 0.7616
CELL_PARAMETERS angstrom
7.8545 -1.6901 0.0000
7.8545 1.6901 0.0000
-2.6145 0.0000 6.7433
```



VASP calculation (PBE) on crystalline SrMn2RhS8 at its relaxed geometry. Values from VASP.

Structure (Quantum ESPRESSO input):
```
&SYSTEM
  ibrav = 0, nat = 12, ntyp = 4
/
ATOMIC_SPECIES
Sr 87.62 Sr.upf
Mn 54.94 Mn.upf
Rh 102.91 Rh.upf
S 32.06 S.upf
ATOMIC_POSITIONS crystal
Sr 0.0000 0.0000 0.0000
Mn 0.3333 0.6667 0.7521
Mn 0.6667 0.3333 0.2479
Rh 0.0000 0.0000 0.5000
S 0.0028 0.6665 0.3359
S 0.3333 0.6667 0.9972
S 0.3335 0.3363 0.3359
S 0.3363 0.0028 0.6641
S 0.6637 0.9972 0.3359
S 0.6665 0.6637 0.6641
S 0.6667 0.3333 0.0028
S 0.9972 0.3335 0.6641
CELL_PARAMETERS angstrom
5.7795 0.0000 0.0000
-2.8898 5.0052 0.0000
0.0000 0.0000 8.4100
```



VASP calculation (PBE) on crystalline Ta2Mn2RhS6 at its relaxed geometry. Values from VASP.

Structure (Quantum ESPRESSO input):
```
&SYSTEM
  ibrav = 0, nat = 11, ntyp = 4
/
ATOMIC_SPECIES
Ta 180.95 Ta.upf
Mn 54.94 Mn.upf
Rh 102.91 Rh.upf
S 32.06 S.upf
ATOMIC_POSITIONS crystal
Ta 0.1287 0.8713 0.0000
Ta 0.8713 0.1287 0.0000
Mn 0.3386 0.6614 0.5000
Mn 0.6614 0.3386 0.5000
Rh 0.5000 0.5000 0.0000
S 0.0693 0.4498 0.7653
S 0.2578 0.2578 0.2730
S 0.4498 0.0693 0.7653
S 0.5502 0.9307 0.2347
S 0.7422 0.7422 0.7270
S 0.9307 0.5502 0.2347
CELL_PARAMETERS angstrom
2.8936 -5.5330 0.0000
2.8936 5.5330 0.0000
-1.6448 0.0000 6.0864
```



VASP calculation (PBE) on crystalline Ti2MnRhS at its relaxed geometry. Values from VASP.

Structure (Quantum ESPRESSO input):
```
&SYSTEM
  ibrav = 0, nat = 5, ntyp = 4
/
ATOMIC_SPECIES
Ti 47.87 Ti.upf
Mn 54.94 Mn.upf
Rh 102.91 Rh.upf
S 32.06 S.upf
ATOMIC_POSITIONS crystal
Ti 0.0000 0.5000 0.0000
Ti 0.5000 0.0000 0.0000
Mn 0.0000 0.0000 0.0000
Rh 0.0000 0.0000 0.5000
S 0.5000 0.5000 0.5000
CELL_PARAMETERS angstrom
4.4688 0.0000 0.0000
0.0000 4.4688 0.0000
0.0000 0.0000 4.4194
```



VASP calculation (PBE) on crystalline Mn2V2RhS6 at its relaxed geometry. Values from VASP.

Structure (Quantum ESPRESSO input):
```
&SYSTEM
  ibrav = 0, nat = 11, ntyp = 4
/
ATOMIC_SPECIES
Mn 54.94 Mn.upf
V 50.94 V.upf
Rh 102.91 Rh.upf
S 32.06 S.upf
ATOMIC_POSITIONS crystal
Mn 0.1740 0.8260 0.0000
Mn 0.8260 0.1740 0.0000
V 0.3517 0.6483 0.5000
V 0.6483 0.3517 0.5000
Rh 0.0000 0.0000 0.5000
S 0.0522 0.4017 0.7278
S 0.2407 0.2407 0.2537
S 0.4017 0.0522 0.7278
S 0.5983 0.9478 0.2722
S 0.7593 0.7593 0.7463
S 0.9478 0.5983 0.2722
CELL_PARAMETERS angstrom
3.0446 -5.2803 0.0000
3.0446 5.2803 0.0000
-1.8622 0.0000 5.8748
```



Number 1: DFT total energy -4.7514 eV per atom, V 95.8 Å³ per cell. Number 2: DFT total energy -6.9172 eV per atom, V 110.0 Å³ per cell. Number 3: DFT total energy -6.3600 eV per atom, V 328.8 Å³ per cell. Number 4: DFT total energy -6.2749 eV per atom, V 254.1 Å³ per cell. Number 5: DFT total energy -6.4797 eV per atom, V 215.8 Å³ per cell. Number 6: DFT total energy -7.0076 eV per atom, V 133.3 Å³ per cell. Number 7: DFT total energy -6.5476 eV per atom, V 493.0 Å³ per cell. Number 8: DFT total energy -6.0583 eV per atom, V 179.0 Å³ per cell. Number 9: DFT total energy -5.5401 eV per atom, V 243.3 Å³ per cell. Number 10: DFT total energy -7.3255 eV per atom, V 194.9 Å³ per cell. Number 11: DFT total energy -6.8121 eV per atom, V 88.3 Å³ per cell. Number 12: DFT total energy -6.8281 eV per atom, V 188.9 Å³ per cell.